No. 1
Material: ThScTcAu
Method: DFT, PBE
State: relaxed

## Properties
DFT formation energy, eV/atom: -0.3471
VASP energy, eV per atom: -7.20

abc: 4.952 4.952 4.952
angles: 60.00 60.00 60.00
Element x y z (fractional)
Th  0.750  0.750  0.750
Au  0.000  0.000  0.000
Tc  0.500  0.500  0.500
Sc  0.250  0.250  0.250

=====

No. 2
Material: ScTiTcAu
Method: DFT, PBE
State: relaxed

## Properties
DFT formation energy, eV/atom: -0.4250
VASP energy, eV per atom: -7.39

abc: 4.579 4.579 4.579
angles: 60.00 60.00 60.00
Element x y z (fractional)
Tc  0.500  0.500  0.500
Sc  0.750  0.750  0.750
Ti  0.250  0.250  0.250
Au  0.000  0.000  0.000

=====

No. 3
Material: TmScTcAu
Method: DFT, PBE
State: relaxed

## Properties
DFT formation energy, eV/atom: -0.4465
VASP energy, eV per atom: -6.56

abc: 4.782 4.782 4.782
angles: 60.00 60.00 60.00
Element x y z (fractional)
Tm  0.250  0.250  0.250
Tc  0.500  0.500  0.500
Sc  0.750  0.750  0.750
Au  0.000  0.000  0.000

=====

No. 4
Material: ZrScTcAu
Method: DFT, PBE
State: relaxed

## Properties
DFT formation energy, eV/atom: -0.4478
VASP energy, eV per atom: -7.58

abc: 4.722 4.722 4.722
angles: 60.00 60.00 60.00
Element x y z (fractional)
Sc  0.750  0.750  0.750
Zr  0.250  0.250  0.250
Au  0.000  0.000  0.000
Tc  0.500  0.500  0.500

=====

No. 5
Material: Sc2TeAu
Method: DFT, PBE
State: relaxed

## Properties
VASP energy, eV per atom: -5.64

abc: 3.928 3.928 7.488
angles: 74.72 74.72 60.17
Element x y z (fractional)
Sc  0.994  0.994  0.018
Sc  0.506  0.506  0.482
Au  0.250  0.250  0.250
Te  0.750  0.750  0.750

=====

No. 6
Material: ScTe2Au
Method: DFT, PBE
State: relaxed

## Properties
VASP energy, eV per atom: -4.71

abc: 6.800 6.800 4.013
angles: 90.01 90.01 33.89
Element x y z (fractional)
Au  0.492  0.492  0.625
Sc  0.308  0.308  0.125
Te  0.980  0.980  0.125
Te  0.720  0.720  0.625

=====

No. 7
Material: ScTe2Au
Method: DFT, PBE
State: relaxed

## Properties
VASP energy, eV per atom: -4.61

abc: 7.603 7.603 7.603
angles: 33.49 33.49 33.49
Element x y z (fractional)
Te  0.026  0.026  0.026
Te  0.210  0.210  0.210
Sc  0.761  0.761  0.761
Au  0.503  0.503  0.503

=====

No. 8
Material: ScTe2Au
Method: DFT, PBE
State: relaxed

## Properties
VASP energy, eV per atom: -4.35

abc: 5.523 5.523 5.523
angles: 125.14 132.63 75.35
Element x y z (fractional)
Sc  0.250  0.750  0.500
Au  0.750  0.250  0.500
Te  0.458  0.458  0.000
Te  0.042  0.042  0.000

=====

No. 9
Material: ScTeAu
Method: DFT, PBE
State: relaxed

## Properties
VASP energy, eV per atom: -4.98

abc: 4.091 4.091 5.210
angles: 90.00 90.00 120.00
Element x y z (fractional)
Te  0.333  0.667  0.656
Sc  0.667  0.333  0.319
Au  0.000  0.000  0.026

=====

No. 10
Material: ScTe2Au2
Method: DFT, PBE
State: relaxed

## Properties
E above lowest polymorph, meV/atom: 63
VASP energy, eV per atom: -4.07

abc: 7.761 7.761 4.045
angles: 90.00 90.00 90.00
Element x y z (fractional)
Te  0.679  0.179  0.000
Te  0.821  0.679  0.000
Te  0.321  0.821  0.000
Te  0.179  0.321  0.000
Au  0.868  0.368  0.500
Au  0.368  0.132  0.500
Au  0.132  0.632  0.500
Au  0.632  0.868  0.500
Sc  0.000  0.000  0.000
Sc  0.500  0.500  0.000

=====

No. 11
Material: Sc2TeAu
Method: DFT, PBE
State: relaxed

## Properties
VASP energy, eV per atom: -5.63

abc: 3.950 3.950 7.464
angles: 74.66 74.66 60.00
Element x y z (fractional)
Te  0.499  0.499  0.504
Au  0.668  0.668  0.995
Sc  0.257  0.257  0.230
Sc  0.076  0.076  0.771

=====

No. 12
Material: Sc2TeAu
Method: DFT, PBE
State: relaxed

## Properties
VASP energy, eV per atom: -5.57

abc: 4.051 4.051 5.820
angles: 90.00 90.00 90.00
Element x y z (fractional)
Te  0.000  0.000  0.374
Sc  0.000  0.000  0.874
Sc  0.500  0.500  0.376
Au  0.500  0.500  0.875

=====

No. 13
Material: ScTe2Au
Method: DFT, PBE
State: relaxed

## Properties
VASP energy, eV per atom: -4.53

abc: 4.121 4.121 7.536
angles: 74.13 74.13 60.00
Element x y z (fractional)
Au  0.664  0.664  0.009
Sc  0.503  0.503  0.490
Te  0.083  0.083  0.752
Te  0.250  0.250  0.249

=====

No. 14
Material: ScTe2Au
Method: DFT, PBE
State: relaxed

## Properties
VASP energy, eV per atom: -4.54

abc: 7.318 7.318 7.318
angles: 33.57 33.57 33.57
Element x y z (fractional)
Sc  0.750  0.750  0.750
Te  0.499  0.499  0.499
Te  0.001  0.001  0.001
Au  0.250  0.250  0.250

=====

No. 15
Material: ScTe2Au
Method: DFT, PBE
State: relaxed

## Properties
VASP energy, eV per atom: -4.32

abc: 5.150 5.150 5.150
angles: 60.00 60.00 60.00
Element x y z (fractional)
Sc  0.000  0.000  0.000
Au  0.500  0.500  0.500
Te  0.250  0.250  0.250
Te  0.750  0.750  0.750

=====

No. 16
Material: Sc2TeAu
Method: DFT, PBE
State: relaxed

## Properties
VASP energy, eV per atom: -4.93

abc: 5.042 5.042 5.042
angles: 60.00 60.00 60.00
Element x y z (fractional)
Sc  0.000  0.000  0.000
Sc  0.250  0.250  0.250
Au  0.500  0.500  0.500
Te  0.750  0.750  0.750

=====

No. 17
Material: Sc2TeAu
Method: DFT, PBE
State: relaxed

## Properties
VASP energy, eV per atom: -5.48

abc: 5.950 5.950 5.950
angles: 142.59 136.66 58.57
Element x y z (fractional)
Au  0.246  0.746  0.500
Te  0.482  0.482  0.000
Sc  0.019  0.019  0.000
Sc  0.754  0.254  0.500

=====

No. 18
Material: ScTe2Au
Method: DFT, PBE
State: relaxed

## Properties
VASP energy, eV per atom: -4.42

abc: 4.905 4.905 3.849
angles: 89.94 89.94 89.99
Element x y z (fractional)
Au  0.500  0.000  0.500
Te  0.500  0.500  0.000
Te  0.000  0.000  0.000
Sc  0.000  0.500  0.500

=====

No. 19
Material: Sc2Te2Au
Method: DFT, PBE
State: relaxed

## Properties
E above lowest polymorph, meV/atom: 175
VASP energy, eV per atom: -5.15

abc: 8.004 8.004 3.683
angles: 90.00 90.00 90.00
Element x y z (fractional)
Te  0.350  0.850  0.000
Te  0.850  0.650  0.000
Te  0.150  0.350  0.000
Te  0.650  0.150  0.000
Sc  0.851  0.351  0.500
Sc  0.649  0.851  0.500
Sc  0.149  0.649  0.500
Sc  0.351  0.149  0.500
Au  0.000  0.000  0.000
Au  0.500  0.500  0.000

=====

No. 20
Material: ScTe2Au2
Method: DFT, PBE
State: relaxed

## Properties
E above lowest polymorph, meV/atom: 0
VASP energy, eV per atom: -4.13

abc: 7.607 7.607 4.043
angles: 90.00 90.00 90.00
Element x y z (fractional)
Au  0.126  0.374  0.000
Au  0.374  0.874  0.000
Au  0.874  0.626  0.000
Au  0.626  0.126  0.000
Te  0.189  0.689  0.500
Te  0.311  0.189  0.500
Te  0.689  0.811  0.500
Te  0.811  0.311  0.500
Sc  0.000  0.000  0.000
Sc  0.500  0.500  0.000

=====

No. 21
Material: Sc2TeAu
Method: DFT, PBE
State: relaxed

## Properties
VASP energy, eV per atom: -5.39

abc: 7.496 7.496 6.357
angles: 53.87 53.87 90.00
Element x y z (fractional)
Sc  0.875  0.894  0.750
Sc  0.106  0.625  0.250
Sc  0.644  0.125  0.250
Sc  0.375  0.356  0.750
Au  0.750  0.250  0.500
Au  0.000  0.000  0.000
Te  0.500  0.500  0.000
Te  0.250  0.750  0.500

=====

No. 22
Material: ScTe3Au
Method: DFT, PBE
State: relaxed

## Properties
E above lowest polymorph, meV/atom: 640
VASP energy, eV per atom: -3.68

abc: 5.480 5.480 5.480
angles: 90.00 90.00 90.00
Element x y z (fractional)
Sc  0.000  0.000  0.000
Te  0.000  0.500  0.000
Te  0.000  0.000  0.500
Te  0.500  0.000  0.000
Au  0.500  0.500  0.500

=====

No. 23
Material: ScTeAu
Method: DFT, PBE
State: relaxed

## Properties
VASP energy, eV per atom: -4.98

abc: 4.298 4.298 10.596
angles: 90.00 90.00 120.00
Element x y z (fractional)
Sc  0.000  0.000  0.803
Sc  0.000  0.000  0.197
Au  0.333  0.667  0.944
Au  0.667  0.333  0.056
Te  0.333  0.667  0.333
Te  0.667  0.333  0.667

=====

No. 24
Material: ScTe2Au
Method: DFT, PBE
State: relaxed

## Properties
VASP energy, eV per atom: -4.42

abc: 3.311 3.311 9.797
angles: 90.00 90.00 93.01
Element x y z (fractional)
Sc  0.500  0.500  0.714
Te  0.500  0.500  0.315
Te  0.000  0.000  0.925
Au  0.000  0.000  0.546

=====

No. 25
Material: Sc2Te2Au
Method: DFT, PBE
State: relaxed

## Properties
E above lowest polymorph, meV/atom: 578
VASP energy, eV per atom: -4.75

abc: 4.399 4.399 7.568
angles: 73.10 73.10 90.00
Element x y z (fractional)
Te  0.250  0.750  0.500
Te  0.750  0.250  0.500
Sc  0.394  0.394  0.212
Sc  0.606  0.606  0.788
Au  0.000  0.000  0.000

=====

No. 26
Material: Sc2TeAu
Method: DFT, PBE
State: relaxed

## Properties
VASP energy, eV per atom: -5.47

abc: 5.204 5.204 5.204
angles: 131.55 120.58 80.09
Element x y z (fractional)
Au  0.250  0.750  0.500
Te  0.750  0.250  0.500
Sc  0.001  0.001  0.000
Sc  0.499  0.499  0.000

=====

No. 27
Material: Sc2TeAu
Method: DFT, PBE
State: relaxed

## Properties
VASP energy, eV per atom: -5.59

abc: 5.852 5.852 4.184
angles: 89.99 89.99 39.25
Element x y z (fractional)
Te  0.470  0.470  0.625
Sc  0.743  0.743  0.625
Sc  0.021  0.021  0.125
Au  0.266  0.266  0.125

=====

No. 28
Material: ScTe3Au2
Method: DFT, PBE
State: relaxed

## Properties
E above lowest polymorph, meV/atom: 0
VASP energy, eV per atom: -4.24

abc: 4.140 7.544 10.881
angles: 95.89 100.97 90.00
Element x y z (fractional)
Sc  0.649  0.056  0.297
Sc  0.351  0.944  0.703
Au  0.295  0.557  0.590
Au  0.705  0.443  0.410
Au  0.046  0.155  0.092
Au  0.954  0.845  0.908
Te  0.247  0.195  0.495
Te  0.090  0.822  0.180
Te  0.910  0.178  0.820
Te  0.753  0.805  0.505
Te  0.421  0.617  0.842
Te  0.579  0.383  0.158

=====

| no. | magnetic moment (μB per atom) | DOS(E_F) (states/eV/cell) |
| --- | --- | --- |
| 1 | 0.00 | 3.45 |
| 2 | 0.00 | 3.29 |
| 3 | 0.00 | 1.49 |
| 4 | 0.00 | 3.01 |
| 5 | 0.00 | 3.18 |
| 6 | 0.00 | 0.35 |
| 7 | 0.00 | 0.85 |
| 8 | 0.00 | 2.54 |
| 9 | 0.00 | 0.35 |
| 10 | 0.08 | 7.03 |
| 11 | 0.00 | 3.84 |
| 12 | 0.00 | 3.25 |
| 13 | 0.00 | 0.11 |
| 14 | 0.00 | 0.34 |
| 15 | 0.00 | 3.29 |
| 16 | 0.36 | 6.97 |
| 17 | 0.00 | 3.35 |
| 18 | 0.00 | 1.01 |
| 19 | 0.00 | 7.35 |
| 20 | 0.00 | 6.15 |
| 21 | 0.00 | 4.82 |
| 22 | 0.00 | 6.49 |
| 23 | 0.00 | 2.84 |
| 24 | 0.00 | 1.52 |
| 25 | 0.10 | 3.36 |
| 26 | 0.00 | 4.02 |
| 27 | 0.00 | 3.36 |
| 28 | 0.00 | 5.79 |